Entry P
Density functional theory data (GGA-PBE) for a geometry-optimized SrLiBe structure.

abc: 7.2648 7.2648 7.2648
angles: 90.00 90.00 90.00
With the nearest neighbours (Å) after each atom.
Element x y z (fractional)
Sr1 0.0000 0.0000 0.0000  4 Li 3.15, 4 Be 3.15
Sr2 0.0000 0.5000 0.5000  4 Li 3.15, 4 Be 3.15
Sr3 0.5000 0.0000 0.5000  4 Li 3.15, 4 Be 3.15
Sr4 0.5000 0.5000 0.0000  4 Li 3.15, 4 Be 3.15
Li1 0.2500 0.2500 0.7500  4 Sr 3.15
Li2 0.2500 0.7500 0.2500  4 Sr 3.15
Li3 0.7500 0.2500 0.2500  4 Sr 3.15
Li4 0.7500 0.7500 0.7500  4 Sr 3.15
Be1 0.2500 0.2500 0.2500  4 Sr 3.15
Be2 0.2500 0.7500 0.7500  4 Sr 3.15
Be3 0.7500 0.2500 0.7500  4 Sr 3.15
Be4 0.7500 0.7500 0.2500  4 Sr 3.15

Values from the calculation:
As for the space-group type: F-43m (216). The total magnetization comes out at 0.0000 μB per atom. Its density of states at the Fermi level is 0.844 states/eV per atom.

Entry Q
Density functional theory data (GGA-PBE) for a geometry-optimized SrLiBe structure.

abc: 6.9090 6.9090 6.9090
angles: 90.00 90.00 90.00
With the nearest neighbours (Å) after each atom.
Element x y z (fractional)
Sr1 0.0000 0.0000 0.0000  4 Li 2.99
Sr2 0.0000 0.5000 0.5000  4 Li 2.99
Sr3 0.5000 0.0000 0.5000  4 Li 2.99
Sr4 0.5000 0.5000 0.0000  4 Li 2.99
Li1 0.2500 0.2500 0.7500  4 Sr 2.99, 4 Be 2.99
Li2 0.2500 0.7500 0.2500  4 Be 2.99, 4 Sr 2.99
Li3 0.7500 0.2500 0.2500  4 Be 2.99, 4 Sr 2.99
Li4 0.7500 0.7500 0.7500  4 Sr 2.99, 4 Be 2.99
Be1 0.0000 0.0000 0.5000  4 Li 2.99
Be2 0.0000 0.5000 0.0000  4 Li 2.99
Be3 0.5000 0.0000 0.0000  4 Li 2.99
Be4 0.5000 0.5000 0.5000  4 Li 2.99

Values from the calculation:
As for the space-group type: F-43m (216). The total magnetization comes out at 0.0005 μB per atom. Its density of states at the Fermi level is 1.170 states/eV per atom.

Energies relative to the minimum, eV/atom: entry P 0.245; entry Q 0.000

Entry P
Density functional theory data (GGA-PBE) for a geometry-optimized LiBeTc2 structure.

abc: 2.4677 4.0277 5.1094
angles: 90.00 90.00 90.00
With the nearest neighbours (Å) after each atom.
Element x y z (fractional)
Li1 0.0000 0.0000 0.0000  2 Li 2.47, 2 Be 2.55, 8 Tc 2.69
Be1 0.0000 0.0000 0.5000  2 Be 2.47, 2 Li 2.55, 8 Tc 2.68
Tc1 0.5000 0.5000 0.2531  4 Tc 2.47-2.59, 4 Be 2.68, 4 Li 2.69
Tc2 0.5000 0.5000 0.7469  4 Tc 2.47-2.59, 4 Be 2.68, 4 Li 2.69

Values from the calculation:
As for the space-group type: Pmmm (47). The total magnetization comes out at 0.0000 μB per atom. Its density of states at the Fermi level is 0.552 states/eV per atom.

Entry Q
Density functional theory data (GGA-PBE) for a geometry-optimized LiBeTc2 structure.

abc: 2.6546 2.6546 26.3043
angles: 90.00 90.00 120.00
With the nearest neighbours (Å) after each atom.
Element x y z (fractional)
Li1 0.0000 0.0000 0.0000  6 Li 2.65, 6 Tc 2.84
Li2 0.3333 0.6667 0.6667  6 Li 2.65, 6 Tc 2.84
Li3 0.6667 0.3333 0.3333  6 Li 2.65, 6 Tc 2.84
Be1 0.0000 0.0000 0.5000  6 Tc 2.52, 6 Be 2.65
Be2 0.3333 0.6667 0.1667  6 Tc 2.52, 6 Be 2.65
Be3 0.6667 0.3333 0.8333  6 Tc 2.52, 6 Be 2.65
Tc1 0.0000 0.0000 0.2426  3 Be 2.52, 6 Tc 2.65
Tc2 0.0000 0.0000 0.7574  3 Be 2.52, 6 Tc 2.65
Tc3 0.3333 0.6667 0.4240  3 Be 2.52, 6 Tc 2.65
Tc4 0.3333 0.6667 0.9093  3 Be 2.52, 6 Tc 2.65
Tc5 0.6667 0.3333 0.0907  3 Be 2.52, 6 Tc 2.65
Tc6 0.6667 0.3333 0.5760  3 Be 2.52, 6 Tc 2.65

Values from the calculation:
As for the space-group type: R-3m (166). The total magnetization comes out at 0.2358 μB per atom. Its density of states at the Fermi level is 1.050 states/eV per atom.

Energies relative to the minimum, eV/atom: entry P 0.000; entry Q 0.028

Entry P
Density functional theory data (GGA-PBE) for a geometry-optimized LiBeTc2 structure.

abc: 2.5205 4.0688 5.0641
angles: 90.00 101.86 90.00
With the nearest neighbours (Å) after each atom.
Element x y z (fractional)
Li1 0.0000 0.0000 0.0000  2 Li 2.52, 2 Be 2.53, 8 Tc 2.60-2.82
Be1 0.0000 0.0000 0.5000  2 Be 2.52, 2 Li 2.53, 4 Tc 2.57
Tc1 0.4894 0.5000 0.7474  4 Tc 2.52-2.55, 2 Be 2.57, 4 Li 2.60-2.82
Tc2 0.5106 0.5000 0.2526  4 Tc 2.52-2.55, 2 Be 2.57, 4 Li 2.60-2.82

Values from the calculation:
As for the space-group type: P2/m (10). The total magnetization comes out at 0.0000 μB per atom. Its density of states at the Fermi level is 0.738 states/eV per atom.

Entry Q
Density functional theory data (GGA-PBE) for a geometry-optimized LiBeTc2 structure.

abc: 2.6530 4.2799 9.5280
angles: 90.00 90.00 90.00
With the nearest neighbours (Å) after each atom.
Element x y z (fractional)
Li1 0.0000 0.0000 0.0000  4 Be 2.52, 2 Li 2.65
Li2 0.5000 0.5000 0.5000  4 Be 2.52, 2 Li 2.65
Be1 0.0000 0.0000 0.5000  4 Tc 2.39, 4 Li 2.52, 2 Be 2.65
Be2 0.5000 0.5000 0.0000  4 Tc 2.39, 4 Li 2.52, 2 Be 2.65
Tc1 0.0000 0.5000 0.2088  2 Be 2.39, 6 Tc 2.64-2.65
Tc2 0.0000 0.5000 0.7912  2 Be 2.39, 6 Tc 2.64-2.65
Tc3 0.5000 0.0000 0.2912  2 Be 2.39, 6 Tc 2.64-2.65
Tc4 0.5000 0.0000 0.7088  2 Be 2.39, 6 Tc 2.64-2.65

Values from the calculation:
As for the space-group type: Immm (71). The total magnetization comes out at 0.0000 μB per atom. Its density of states at the Fermi level is 0.849 states/eV per atom.

Entry R
Density functional theory data (GGA-PBE) for a geometry-optimized LiBeTc2 structure.

abc: 5.8460 5.8460 5.8460
angles: 90.00 90.00 90.00
With the nearest neighbours (Å) after each atom.
Element x y z (fractional)
Li1 0.0000 0.0000 0.0000  4 Tc 2.53, 4 Be 2.53
Li2 0.0000 0.5000 0.5000  4 Tc 2.53, 4 Be 2.53
Li3 0.5000 0.0000 0.5000  4 Tc 2.53, 4 Be 2.53
Li4 0.5000 0.5000 0.0000  4 Tc 2.53, 4 Be 2.53
Be1 0.2500 0.2500 0.2500  4 Li 2.53, 4 Tc 2.53
Be2 0.2500 0.7500 0.7500  4 Li 2.53, 4 Tc 2.53
Be3 0.7500 0.2500 0.7500  4 Li 2.53, 4 Tc 2.53
Be4 0.7500 0.7500 0.2500  4 Li 2.53, 4 Tc 2.53
Tc1 0.0000 0.0000 0.5000  4 Tc 2.53, 4 Be 2.53
Tc2 0.0000 0.5000 0.0000  4 Tc 2.53, 4 Be 2.53
Tc3 0.2500 0.2500 0.7500  4 Li 2.53, 4 Tc 2.53
Tc4 0.2500 0.7500 0.2500  4 Li 2.53, 4 Tc 2.53
Tc5 0.5000 0.0000 0.0000  4 Tc 2.53, 4 Be 2.53
Tc6 0.5000 0.5000 0.5000  4 Tc 2.53, 4 Be 2.53
Tc7 0.7500 0.2500 0.2500  4 Li 2.53, 4 Tc 2.53
Tc8 0.7500 0.7500 0.7500  4 Tc 2.53, 4 Li 2.53

Values from the calculation:
As for the space-group type: F-43m (216). The total magnetization comes out at 0.0000 μB per atom. Its density of states at the Fermi level is 0.344 states/eV per atom.

Entry S
Density functional theory data (GGA-PBE) for a geometry-optimized LiBeTc2 structure.

abc: 2.5251 2.5251 8.1635
angles: 90.00 90.00 90.00
With the nearest neighbours (Å) after each atom.
Element x y z (fractional)
Li1 0.0000 0.0000 0.0000  4 Li 2.53
Be1 0.0000 0.0000 0.5000  4 Be 2.53, 8 Tc 2.53
Tc1 0.5000 0.5000 0.2800  4 Tc 2.53, 4 Be 2.53
Tc2 0.5000 0.5000 0.7200  4 Tc 2.53, 4 Be 2.53

Values from the calculation:
As for the space-group type: P4/mmm (123). The total magnetization comes out at 0.0000 μB per atom. Its density of states at the Fermi level is 0.505 states/eV per atom.

Energies relative to the minimum, eV/atom: entry P 0.190; entry Q 0.159; entry R 0.000; entry S 0.134

Entry P
Density functional theory data (GGA-PBE) for a geometry-optimized LiBeTc2 structure.

abc: 2.9730 2.9730 5.9908
angles: 90.00 90.00 90.00
With the nearest neighbours (Å) after each atom.
Element x y z (fractional)
Li1 0.0000 0.0000 0.0000  4 Be 2.53, 5 Tc 2.76-2.79
Be1 0.5000 0.5000 0.7656  5 Tc 2.52-2.79, 4 Li 2.53
Tc1 0.0000 0.0000 0.5346  4 Be 2.52, 4 Tc 2.53, 1 Li 2.79
Tc2 0.5000 0.5000 0.2997  4 Tc 2.53, 4 Li 2.76, 1 Be 2.79

Values from the calculation:
As for the space-group type: P4mm (99). The total magnetization comes out at 0.1036 μB per atom. Its density of states at the Fermi level is 1.157 states/eV per atom.

Entry Q
Density functional theory data (GGA-PBE) for a geometry-optimized LiBeTc2 structure.

abc: 3.5725 3.5725 7.8763
angles: 90.00 90.00 90.00
With the nearest neighbours (Å) after each atom.
Element x y z (fractional)
Li1 0.0000 0.0000 0.0000  4 Be 2.53, 8 Tc 2.66
Li2 0.5000 0.5000 0.5000  4 Be 2.53, 8 Tc 2.66
Be1 0.0000 0.0000 0.5000  4 Li 2.53, 8 Tc 2.66
Be2 0.5000 0.5000 0.0000  4 Li 2.53, 8 Tc 2.66
Tc1 0.0000 0.5000 0.2500  4 Tc 2.53, 4 Li 2.66, 4 Be 2.66
Tc2 0.0000 0.5000 0.7500  4 Tc 2.53, 4 Li 2.66, 4 Be 2.66
Tc3 0.5000 0.0000 0.2500  4 Tc 2.53, 4 Li 2.66, 4 Be 2.66
Tc4 0.5000 0.0000 0.7500  4 Tc 2.53, 4 Li 2.66, 4 Be 2.66

Values from the calculation:
As for the space-group type: I4/mmm (139). The total magnetization comes out at 0.0000 μB per atom. Its density of states at the Fermi level is 0.593 states/eV per atom.

Entry R
Density functional theory data (GGA-PBE) for a geometry-optimized LiBeTc2 structure.

abc: 3.5338 3.5338 17.5879
angles: 90.00 90.00 90.00
With the nearest neighbours (Å) after each atom.
Element x y z (fractional)
Li1 0.0000 0.0000 0.0000  4 Be 2.50, 4 Tc 2.53
Li2 0.0000 0.5000 0.2500  4 Be 2.50, 4 Tc 2.53
Li3 0.5000 0.0000 0.7500  4 Be 2.50, 4 Tc 2.53
Li4 0.5000 0.5000 0.5000  4 Be 2.50, 4 Tc 2.53
Be1 0.0000 0.0000 0.5000  4 Li 2.50, 4 Tc 2.53
Be2 0.0000 0.5000 0.7500  4 Li 2.50, 4 Tc 2.53
Be3 0.5000 0.0000 0.2500  4 Li 2.50, 4 Tc 2.53
Be4 0.5000 0.5000 0.0000  4 Li 2.50, 4 Tc 2.53
Tc1 0.2475 0.2500 0.6250  4 Tc 2.49-2.51, 2 Be 2.53, 2 Li 2.53
Tc2 0.2500 0.7475 0.8750  4 Tc 2.49-2.51, 2 Be 2.53, 2 Li 2.53
Tc3 0.2500 0.7525 0.3750  4 Tc 2.49-2.51, 2 Be 2.53, 2 Li 2.53
Tc4 0.2525 0.2500 0.1250  4 Tc 2.49-2.51, 2 Be 2.53, 2 Li 2.53
Tc5 0.7475 0.7500 0.1250  4 Tc 2.49-2.51, 2 Be 2.53, 2 Li 2.53
Tc6 0.7500 0.2475 0.3750  4 Tc 2.49-2.51, 2 Be 2.53, 2 Li 2.53
Tc7 0.7500 0.2525 0.8750  4 Tc 2.49-2.51, 2 Be 2.53, 2 Li 2.53
Tc8 0.7525 0.7500 0.6250  4 Tc 2.49-2.51, 2 Be 2.53, 2 Li 2.53

Values from the calculation:
As for the space-group type: I-42d (122). The total magnetization comes out at 0.0000 μB per atom. Its density of states at the Fermi level is 0.515 states/eV per atom.

Energies relative to the minimum, eV/atom: entry P 0.000; entry Q 0.080; entry R 0.387

Entry P
Density functional theory data (GGA-PBE) for a geometry-optimized Li2BeTc structure.

abc: 3.3253 3.3253 4.3806
angles: 90.00 90.00 90.00
With the nearest neighbours (Å) after each atom.
Element x y z (fractional)
Li1 0.0000 0.5000 0.0000  4 Li 2.35
Li2 0.5000 0.0000 0.0000  4 Li 2.35
Be1 0.0000 0.0000 0.5000  4 Tc 2.35
Tc1 0.5000 0.5000 0.5000  4 Be 2.35

Values from the calculation:
As for the space-group type: P4/mmm (123). The total magnetization comes out at 0.1699 μB per atom. Its density of states at the Fermi level is 0.528 states/eV per atom.

Entry Q
Density functional theory data (GGA-PBE) for a geometry-optimized Li2BeTc structure.

abc: 3.2831 3.9047 8.5373
angles: 90.00 90.00 90.00
With the nearest neighbours (Å) after each atom.
Element x y z (fractional)
Li1 0.0000 0.0000 0.0000  4 Li 2.55, 4 Be 2.57-2.78
Li2 0.0000 0.5000 0.2998  4 Li 2.55, 2 Tc 2.76
Li3 0.5000 0.0000 0.2998  4 Li 2.55, 2 Tc 2.76
Li4 0.5000 0.5000 0.0000  4 Li 2.55, 4 Be 2.57-2.78
Be1 0.0000 0.5000 0.7684  4 Tc 2.42-2.64, 4 Be 2.55, 2 Li 2.57
Be2 0.5000 0.0000 0.7684  4 Tc 2.42-2.64, 4 Be 2.55, 2 Li 2.57
Tc1 0.0000 0.0000 0.5596  4 Be 2.42-2.64, 4 Tc 2.55
Tc2 0.5000 0.5000 0.5596  4 Be 2.42-2.64, 4 Tc 2.55

Values from the calculation:
As for the space-group type: Cmm2 (35). The total magnetization comes out at 0.0000 μB per atom. Its density of states at the Fermi level is 0.488 states/eV per atom.

Energies relative to the minimum, eV/atom: entry P 0.085; entry Q 0.000

Entry P
Density functional theory data (GGA-PBE) for a geometry-optimized Li2BeTc structure.

abc: 2.4997 4.2837 4.6202
angles: 90.00 90.00 90.00
With the nearest neighbours (Å) after each atom.
Element x y z (fractional)
Li1 0.0000 0.0000 0.0000  6 Li 2.48-2.50, 4 Tc 2.63
Li2 0.5000 0.5000 0.0000  6 Li 2.48-2.50, 4 Be 2.63
Be1 0.0000 0.5000 0.5000  4 Tc 2.48, 2 Be 2.50, 4 Li 2.63
Tc1 0.5000 0.0000 0.5000  4 Be 2.48, 2 Tc 2.50, 4 Li 2.63

Values from the calculation:
As for the space-group type: Pmmm (47). The total magnetization comes out at 0.0001 μB per atom. Its density of states at the Fermi level is 0.564 states/eV per atom.

Entry Q
Density functional theory data (GGA-PBE) for a geometry-optimized Li2BeTc structure.

abc: 2.6737 2.6737 27.1138
angles: 90.00 90.00 120.00
With the nearest neighbours (Å) after each atom.
Element x y z (fractional)
Li1 0.0000 0.0000 0.0000  6 Li 2.67, 3 Be 2.71
Li2 0.0000 0.0000 0.2384  6 Li 2.67, 3 Tc 2.79
Li3 0.3333 0.6667 0.6667  6 Li 2.67, 3 Be 2.71
Li4 0.3333 0.6667 0.9051  6 Li 2.67, 3 Tc 2.79
Li5 0.6667 0.3333 0.3333  6 Li 2.67, 3 Be 2.71
Li6 0.6667 0.3333 0.5717  6 Li 2.67, 3 Tc 2.79
Be1 0.0000 0.0000 0.7486  3 Tc 2.46, 6 Be 2.67, 3 Li 2.71
Be2 0.3333 0.6667 0.4153  3 Tc 2.46, 6 Be 2.67, 3 Li 2.71
Be3 0.6667 0.3333 0.0820  3 Tc 2.46, 6 Be 2.67, 3 Li 2.71
Tc1 0.0000 0.0000 0.4859  3 Be 2.46, 6 Tc 2.67
Tc2 0.3333 0.6667 0.1525  3 Be 2.46, 6 Tc 2.67
Tc3 0.6667 0.3333 0.8192  3 Be 2.46, 6 Tc 2.67

Values from the calculation:
As for the space-group type: R3m (160). The total magnetization comes out at 0.0570 μB per atom. Its density of states at the Fermi level is 1.085 states/eV per atom.

Energies relative to the minimum, eV/atom: entry P 0.000; entry Q 0.056